(1)
Compound: Na4PmHo3Te8
Source: Alexandria
Functional: PBE-GGA
Structure: optimized geometry

M_tot = 0.0 μB/cell
formation energy from raw total energies = -21.0 eV/f.u.
SG = R-3m
E_tot = -69.905 eV/cell

```
16
Lattice="-4.157 7.078 -3.394 -7.745 -4.821 -0.567 4.138 0.614 7.834" Properties=species:S:1:pos:R:3 pbc="T T T"
Na -2.079 3.539 -1.697
Na -0.010 3.846 2.220
Na 0.000 0.000 0.000
Na 2.069 0.307 3.917
Pm -3.873 -2.411 -0.284
Ho -5.951 1.128 -1.980
Ho -3.883 1.435 1.937
Ho -1.804 -2.104 3.634
Te -2.630 -1.179 6.469
Te -4.661 -1.480 2.623
Te -1.034 0.830 2.996
Te -4.671 2.296 4.803
Te -3.094 0.574 -0.930
Te -6.731 2.040 0.877
Te -3.104 4.350 1.250
Te -5.135 4.049 -2.596
```



(2)
Compound: Na2PmHoTe4
Source: Alexandria
Functional: PBE-GGA
Structure: optimized geometry

M_tot = 0.0 μB/cell
formation energy from raw total energies = -10.5 eV/f.u.
SG = P2/m
E_tot = -35.075 eV/cell

```
8
Lattice="-0.294 -4.330 -1.065 -0.489 -1.812 7.507 -7.374 1.201 -2.847" Properties=species:S:1:pos:R:3 pbc="T T T"
Na -3.834 -1.565 -1.956
Na -3.931 -0.306 2.330
Pm -0.391 -3.071 3.221
Ho 0.000 0.000 0.000
Te -1.979 -2.317 0.593
Te -6.178 -2.625 3.003
Te -5.755 0.467 -0.309
Te -2.107 -1.079 4.969
```



(3)
Compound: NaPmHo2Te4
Source: Alexandria
Functional: PBE-GGA
Structure: optimized geometry

M_tot = 0.0 μB/cell
formation energy from raw total energies = -10.6 eV/f.u.
density of states at the Fermi level = 2.970 states/eV per cell
SG = P2/m
E_tot = -38.356 eV/cell

```
8
Lattice="4.366 0.000 0.000 0.000 7.665 0.185 0.000 -2.656 7.212" Properties=species:S:1:pos:R:3 pbc="T T T"
Na 0.000 0.000 0.000
Pm 2.183 3.832 0.093
Ho 2.183 -1.328 3.606
Ho 0.000 2.504 3.699
Te 2.183 1.243 1.915
Te 2.183 3.765 5.482
Te 0.000 -0.097 5.393
Te 0.000 5.106 2.004
```



(4)
Compound: NaPm2HoTl4
Source: Alexandria
Functional: PBE-GGA
Structure: optimized geometry

M_tot = 0.0 μB/cell
energy of formation = -0.31 eV per atom
density of states at the Fermi level = 5.781 states/eV per cell
SG = R-3m
E_tot = -27.333 eV/cell

```
8
Lattice="-0.604 5.335 0.368 -4.665 2.068 1.709 1.224 2.224 9.123" Properties=species:S:1:pos:R:3 pbc="T T T"
Na -2.023 4.813 5.600
Pm -3.079 7.224 8.272
Pm -0.966 2.403 2.928
Ho 0.000 0.000 0.000
Tl -0.898 4.721 8.783
Tl -4.163 7.312 5.206
Tl 0.117 2.314 5.994
Tl -3.148 4.905 2.417
```



(5)
Compound: NaPmHoTl
Source: Alexandria
Functional: PBE-GGA
Structure: optimized geometry

M_tot = 0.0 μB/cell
energy of formation = -0.06 eV per atom
density of states at the Fermi level = 4.833 states/eV per cell
SG = F-43m
E_tot = -13.267 eV/cell

```
4
Lattice="-0.952 -3.616 3.973 4.001 -1.390 3.440 -0.179 1.644 5.200" Properties=species:S:1:pos:R:3 pbc="T T T"
Na 0.000 0.000 0.000
Tl 1.435 -1.681 6.307
Ho 2.152 -2.522 9.460
Pm 0.717 -0.841 3.153
```



(6)
Compound: NaPrHo2
Source: Alexandria
Functional: PBE-GGA
Structure: optimized geometry

M_tot = 0.0 μB/cell
energy of formation = 0.19 eV per atom
polymorph energy (0 for the lowest one) = 0.0317 eV/atom
density of states at the Fermi level = 5.901 states/eV per cell
SG = R-3m
E_tot = -14.483 eV/cell

```
4
Lattice="-2.767 -1.689 -1.410 -1.716 -2.456 1.877 -9.319 7.601 4.754" Properties=species:S:1:pos:R:3 pbc="T T T"
Pr -6.901 1.728 2.610
Na 0.000 0.000 0.000
Ho -7.176 5.141 3.494
Ho -6.626 -1.685 1.726
```



(7)
Compound: NaPrHo2
Source: Alexandria
Functional: PBE-GGA
Structure: optimized geometry

M_tot = 0.0 μB/cell
energy of formation = 0.16 eV per atom
polymorph energy (0 for the lowest one) = 0.0000 eV/atom
density of states at the Fermi level = 5.597 states/eV per cell
SG = P4/mmm
E_tot = -14.610 eV/cell

```
4
Lattice="-3.517 0.332 -0.646 0.310 -2.204 -2.819 -1.918 -8.224 6.219" Properties=species:S:1:pos:R:3 pbc="T T T"
Pr -1.604 -0.936 -1.733
Na -2.563 -5.048 1.377
Ho -1.469 -6.298 4.762
Ho -0.449 -1.926 1.457
```



(8)
Compound: NaPr4Ho3S8
Source: Alexandria
Functional: PBE-GGA
Structure: optimized geometry

M_tot = 0.0 μB/cell
formation energy from raw total energies = -31.2 eV/f.u.
density of states at the Fermi level = 8.182 states/eV per cell
SG = R-3m
E_tot = -98.386 eV/cell

```
16
Lattice="7.969 0.000 0.000 0.000 8.073 0.067 -3.984 -3.980 5.638" Properties=species:S:1:pos:R:3 pbc="T T T"
Na 0.000 4.036 0.034
Pr 3.984 0.000 0.000
Pr 1.992 -1.990 2.819
Pr 0.000 0.000 0.000
Pr -1.992 -1.990 2.819
Ho 3.984 4.036 0.034
Ho 1.992 2.046 2.853
Ho -1.992 2.046 2.853
S -1.973 1.981 5.609
S 0.000 3.952 2.817
S 0.000 0.139 2.914
S 1.973 1.981 5.609
S 2.012 2.112 0.096
S 3.984 3.954 2.791
S 3.984 0.141 2.888
S 5.957 2.112 0.096
```



| no. | volume (Å³ per cell) |
| --- | --- |
| 1 | 516.9 |
| 2 | 261.7 |
| 3 | 243.5 |
| 4 | 224.3 |
| 5 | 114.9 |
| 6 | 138.2 |
| 7 | 135.3 |
| 8 | 364.8 |